Crystalline Tb3Nd4DyS8 at its relaxed geometry, computed with PBE.

Properties
The calculated volume comes out at 361.2 Å³ per cell. The value obtained for the uncorrected formation energy is -2016 meV/atom.

Cell: 8.0442 8.0442 8.0442 Å, 59.19 59.19 59.19°
Last column: nearest neighbours and their distance in Å.
Positions (direct):
Tb (0.0000, 0.5000, 0.5000)  6 S 2.77
Tb (0.5000, 0.0000, 0.5000)  6 S 2.77
Tb (0.5000, 0.5000, 0.0000)  6 S 2.77
Nd (0.0000, 0.0000, 0.5000)  6 S 2.88
Nd (0.0000, 0.5000, 0.0000)  6 S 2.88
Nd (0.5000, 0.0000, 0.0000)  6 S 2.88
Nd (0.5000, 0.5000, 0.5000)  6 S 2.89
Dy (0.0000, 0.0000, 0.0000)  6 S 2.76
S (0.2444, 0.2444, 0.7460)  1 Dy 2.76, 2 Tb 2.77, 3 Nd 2.88-2.89
S (0.2444, 0.7460, 0.2444)  1 Dy 2.76, 2 Tb 2.77, 3 Nd 2.88-2.89
S (0.2540, 0.7556, 0.7556)  1 Dy 2.76, 2 Tb 2.77, 3 Nd 2.88-2.89
S (0.2548, 0.2548, 0.2548)  3 Tb 2.77, 3 Nd 2.88
S (0.7452, 0.7452, 0.7452)  3 Tb 2.77, 3 Nd 2.88
S (0.7460, 0.2444, 0.2444)  1 Dy 2.76, 2 Tb 2.77, 3 Nd 2.88-2.89
S (0.7556, 0.2540, 0.7556)  1 Dy 2.76, 2 Tb 2.77, 3 Nd 2.88-2.89
S (0.7556, 0.7556, 0.2540)  1 Dy 2.76, 2 Tb 2.77, 3 Nd 2.88-2.89



Crystalline Tb2NdDyS6 at its relaxed geometry, computed with PBE.

Properties
The calculated volume comes out at 263.9 Å³ per cell. The value obtained for the uncorrected formation energy is -2046 meV/atom.

Cell: 7.4110 7.4110 7.4110 Å, 56.40 56.40 56.40°
Last column: nearest neighbours and their distance in Å.
Positions (direct):
Tb (0.0000, 0.0000, 0.0000)  6 S 2.72-2.80
Tb (0.4969, 0.4969, 0.4969)  6 S 2.73-2.80
Nd (0.2044, 0.2044, 0.2044)  6 S 2.80-2.91
Dy (0.6995, 0.6995, 0.6995)  6 S 2.73-2.79
S (0.0983, 0.4010, 0.7945)  1 Dy 2.73, 2 Tb 2.73-2.80, 1 Nd 2.91
S (0.2972, 0.8853, 0.6136)  2 Tb 2.72-2.80, 1 Dy 2.79, 1 Nd 2.80
S (0.4010, 0.7945, 0.0983)  1 Dy 2.73, 2 Tb 2.73-2.80, 1 Nd 2.91
S (0.6136, 0.2972, 0.8853)  2 Tb 2.72-2.80, 1 Dy 2.79, 1 Nd 2.80
S (0.7945, 0.0983, 0.4010)  1 Dy 2.73, 2 Tb 2.73-2.80, 1 Nd 2.91
S (0.8853, 0.6136, 0.2972)  2 Tb 2.72-2.80, 1 Dy 2.79, 1 Nd 2.80



Crystalline Tb2NdDyS4 at its relaxed geometry, computed with PBE.

Properties
The calculated volume comes out at 175.5 Å³ per cell. The value obtained for the uncorrected formation energy is -2003 meV/atom.

Cell: 6.8641 3.9183 6.8983 Å, 90.00 108.97 90.00°
Last column: nearest neighbours and their distance in Å.
Positions (direct):
Tb (0.0000, 0.0000, 0.0000)  6 S 2.75
Tb (0.0000, 0.5000, 0.5000)  6 S 2.81
Nd (0.5000, 0.0000, 0.5000)  6 S 2.85
Dy (0.5000, 0.5000, 0.0000)  6 S 2.79
S (0.2420, 0.5000, 0.2404)  3 Tb 2.75-2.81, 1 Dy 2.79, 2 Nd 2.85
S (0.2473, 0.0000, 0.7559)  3 Tb 2.75-2.81, 2 Dy 2.79, 1 Nd 2.85
S (0.7527, 0.0000, 0.2441)  3 Tb 2.75-2.81, 2 Dy 2.79, 1 Nd 2.85
S (0.7580, 0.5000, 0.7596)  3 Tb 2.75-2.81, 1 Dy 2.79, 2 Nd 2.85



Crystalline Tb2Nd3DyS6 at its relaxed geometry, computed with PBE.

Properties
The calculated volume comes out at 270.4 Å³ per cell. The value obtained for the uncorrected formation energy is -2022 meV/atom.

Cell: 6.8921 6.8921 6.9746 Å, 99.46 99.46 120.17°
Last column: nearest neighbours and their distance in Å.
Positions (direct):
Tb (0.1667, 0.8333, 0.0000)  6 S 2.77-2.78
Tb (0.8333, 0.1667, 0.0000)  6 S 2.77-2.78
Nd (0.0000, 0.0000, 0.5000)  6 S 2.88
Nd (0.3327, 0.6673, 0.5000)  6 S 2.88
Nd (0.6673, 0.3327, 0.5000)  6 S 2.88
Dy (0.5000, 0.5000, 0.0000)  6 S 2.76
S (0.0896, 0.4216, 0.7644)  1 Dy 2.76, 2 Tb 2.77, 3 Nd 2.88
S (0.2467, 0.2467, 0.2362)  1 Dy 2.76, 2 Tb 2.78, 3 Nd 2.88
S (0.4216, 0.0896, 0.7644)  1 Dy 2.76, 2 Tb 2.77, 3 Nd 2.88
S (0.5784, 0.9104, 0.2356)  1 Dy 2.76, 2 Tb 2.77, 3 Nd 2.88
S (0.7533, 0.7533, 0.7638)  1 Dy 2.76, 2 Tb 2.78, 3 Nd 2.88
S (0.9104, 0.5784, 0.2356)  1 Dy 2.76, 2 Tb 2.77, 3 Nd 2.88



Crystalline Tb4NdDy3S8 at its relaxed geometry, computed with PBE.

Properties
The calculated volume comes out at 345.6 Å³ per cell. The value obtained for the uncorrected formation energy is -1998 meV/atom.

Cell: 7.8737 7.8737 7.8737 Å, 60.05 60.05 60.05°
Last column: nearest neighbours and their distance in Å.
Positions (direct):
Tb (0.0000, 0.0000, 0.0000)  6 S 2.74
Tb (0.0000, 0.5000, 0.5000)  6 S 2.79
Tb (0.5000, 0.0000, 0.5000)  6 S 2.79
Tb (0.5000, 0.5000, 0.0000)  6 S 2.79
Nd (0.5000, 0.5000, 0.5000)  6 S 2.83
Dy (0.0000, 0.0000, 0.5000)  6 S 2.78
Dy (0.0000, 0.5000, 0.0000)  6 S 2.78
Dy (0.5000, 0.0000, 0.0000)  6 S 2.78
S (0.2439, 0.7545, 0.7545)  3 Tb 2.74-2.79, 2 Dy 2.78, 1 Nd 2.83
S (0.2455, 0.2455, 0.7561)  3 Tb 2.74-2.79, 2 Dy 2.78, 1 Nd 2.83
S (0.2455, 0.7561, 0.2455)  3 Tb 2.74-2.79, 2 Dy 2.78, 1 Nd 2.83
S (0.2492, 0.2492, 0.2492)  3 Dy 2.78, 3 Tb 2.79
S (0.7508, 0.7508, 0.7508)  3 Dy 2.78, 3 Tb 2.79
S (0.7545, 0.2439, 0.7545)  3 Tb 2.74-2.79, 2 Dy 2.78, 1 Nd 2.83
S (0.7545, 0.7545, 0.2439)  3 Tb 2.74-2.79, 2 Dy 2.78, 1 Nd 2.83
S (0.7561, 0.2455, 0.2455)  3 Tb 2.74-2.79, 2 Dy 2.78, 1 Nd 2.83



Crystalline TbNd4Dy3S8 at its relaxed geometry, computed with PBE.

Properties
The calculated volume comes out at 359.9 Å³ per cell. The value obtained for the uncorrected formation energy is -2013 meV/atom.

Cell: 8.0464 8.0464 8.0464 Å, 58.99 58.99 58.99°
Last column: nearest neighbours and their distance in Å.
Positions (direct):
Tb (0.0000, 0.0000, 0.0000)  6 S 2.77
Nd (0.0000, 0.0000, 0.5000)  6 S 2.89
Nd (0.0000, 0.5000, 0.0000)  6 S 2.89
Nd (0.5000, 0.0000, 0.0000)  6 S 2.89
Nd (0.5000, 0.5000, 0.5000)  6 S 2.88
Dy (0.0000, 0.5000, 0.5000)  6 S 2.76
Dy (0.5000, 0.0000, 0.5000)  6 S 2.76
Dy (0.5000, 0.5000, 0.0000)  6 S 2.76
S (0.2452, 0.2452, 0.7436)  2 Dy 2.76, 1 Tb 2.77, 3 Nd 2.88-2.89
S (0.2452, 0.7436, 0.2452)  2 Dy 2.76, 1 Tb 2.77, 3 Nd 2.88-2.89
S (0.2555, 0.2555, 0.2555)  3 Dy 2.76, 3 Nd 2.89
S (0.2564, 0.7548, 0.7548)  2 Dy 2.76, 1 Tb 2.77, 3 Nd 2.88-2.89
S (0.7436, 0.2452, 0.2452)  2 Dy 2.76, 1 Tb 2.77, 3 Nd 2.88-2.89
S (0.7445, 0.7445, 0.7445)  3 Dy 2.76, 3 Nd 2.89
S (0.7548, 0.2564, 0.7548)  2 Dy 2.76, 1 Tb 2.77, 3 Nd 2.88-2.89
S (0.7548, 0.7548, 0.2564)  2 Dy 2.76, 1 Tb 2.77, 3 Nd 2.88-2.89



Crystalline TbNdDy2S4 at its relaxed geometry, computed with PBE.

Properties
The calculated volume comes out at 174.7 Å³ per cell. The value obtained for the uncorrected formation energy is -2001 meV/atom.

Cell: 6.8600 3.9100 6.8845 Å, 90.00 108.94 90.00°
Last column: nearest neighbours and their distance in Å.
Positions (direct):
Tb (0.0000, 0.0000, 0.0000)  6 S 2.80-2.81
Nd (0.5000, 0.5000, 0.0000)  6 S 2.85
Dy (0.0000, 0.5000, 0.5000)  6 S 2.74
Dy (0.5000, 0.0000, 0.5000)  6 S 2.79
S (0.2404, 0.0000, 0.7389)  3 Dy 2.74-2.79, 1 Tb 2.81, 2 Nd 2.85
S (0.2466, 0.5000, 0.2566)  3 Dy 2.74-2.79, 2 Tb 2.80, 1 Nd 2.85
S (0.7534, 0.5000, 0.7434)  3 Dy 2.74-2.79, 2 Tb 2.80, 1 Nd 2.85
S (0.7595, 0.0000, 0.2611)  3 Dy 2.74-2.79, 1 Tb 2.81, 2 Nd 2.85



Crystalline TbNd2Dy3S6 at its relaxed geometry, computed with PBE.

Properties
The calculated volume comes out at 264.3 Å³ per cell. The value obtained for the uncorrected formation energy is -2007 meV/atom.

Cell: 8.8676 8.8676 7.9859 Å, 103.47 103.47 25.69°
Last column: nearest neighbours and their distance in Å.
Positions (direct):
Tb (0.0000, 0.0000, 0.0000)  6 S 2.79-2.81
Nd (0.3327, 0.3327, 0.6652)  6 S 2.85-2.87
Nd (0.6673, 0.6673, 0.3348)  6 S 2.85-2.87
Dy (0.0000, 0.0000, 0.5000)  6 S 2.74-2.80
Dy (0.3316, 0.3316, 0.1668)  6 S 2.74-2.78
Dy (0.6684, 0.6684, 0.8332)  6 S 2.74-2.78
S (0.1629, 0.1629, 0.5921)  3 Dy 2.74, 3 Nd 2.85-2.86
S (0.1663, 0.1663, 0.0727)  3 Dy 2.75-2.78, 1 Tb 2.79, 2 Nd 2.87
S (0.4962, 0.4962, 0.2494)  3 Dy 2.76-2.80, 2 Tb 2.81, 1 Nd 2.87
S (0.5038, 0.5038, 0.7506)  3 Dy 2.76-2.80, 2 Tb 2.81, 1 Nd 2.87
S (0.8337, 0.8337, 0.9273)  3 Dy 2.75-2.78, 1 Tb 2.79, 2 Nd 2.87
S (0.8371, 0.8371, 0.4079)  3 Dy 2.74, 3 Nd 2.85-2.86